Run one
## Nd2LuCd (PBE)

Data for Nd2LuCd after structural relaxation.

Cell lengths 5.531, 5.531, 5.531 Å; angles 60.00, 60.00, 60.00 degrees
Positions (direct):
Nd (0.250, 0.250, 0.250)
Nd (0.750, 0.750, 0.750)
Lu (0.000, 0.000, 0.000)
Cd (0.500, 0.500, 0.500)

Values from the calculation:
**Space-group type**: Fm-3m, No. 225
**Volume**: 119.6 Å³/f.u.
**Mass density**: 7.99 g/cm3
**D(E_F)**: 4.79 states/eV/f.u.

=====

Run two
## Nd2LuCd (PBE)

Data for Nd2LuCd after structural relaxation.

Cell lengths 3.697, 3.697, 8.953 Å; angles 90.00, 90.00, 90.00 degrees
Positions (direct):
Nd (0.000, 0.000, 0.232)
Nd (0.000, 0.000, 0.768)
Lu (0.500, 0.500, 0.500)
Cd (0.500, 0.500, 0.000)

Values from the calculation:
**Space-group type**: P4/mmm, No. 123
**Volume**: 122.4 Å³/f.u.
**Mass density**: 7.81 g/cm3
**D(E_F)**: 5.40 states/eV/f.u.

=====

Least stable = run one

=====

Run one
## Lu2CdOs (PBE)

Data for Lu2CdOs after structural relaxation.

Cell lengths 3.387, 3.387, 7.603 Å; angles 90.00, 90.00, 90.00 degrees
Positions (direct):
Lu (0.000, 0.000, 0.212)
Lu (0.000, 0.000, 0.788)
Cd (0.500, 0.500, 0.500)
Os (0.500, 0.500, 0.000)

Values from the calculation:
**Space-group type**: P4/mmm, No. 123
**Volume**: 87.2 Å³/f.u.
**Mass density**: 12.43 g/cm3
**D(E_F)**: 2.58 states/eV/f.u.

=====

Run two
## Lu2CdOs (PBE)

Data for Lu2CdOs after structural relaxation.

Cell lengths 4.912, 4.912, 4.912 Å; angles 60.00, 60.00, 60.00 degrees
Positions (direct):
Lu (0.250, 0.250, 0.250)
Lu (0.750, 0.750, 0.750)
Cd (0.000, 0.000, 0.000)
Os (0.500, 0.500, 0.500)

Values from the calculation:
**Space-group type**: Fm-3m, No. 225
**Volume**: 83.8 Å³/f.u.
**Mass density**: 12.93 g/cm3
**D(E_F)**: 2.83 states/eV/f.u.

=====

Least stable = run two